[1]
# CePm5Pr6 (PBE, optimized geometry)
data_CePm5Pr6
_space_group_name_H-M_alt 'C 1 2/m 1'
_space_group_IT_number 12
_cell_length_a 16.425
_cell_length_b 10.391
_cell_length_c 5.198
_cell_angle_alpha 90.00
_cell_angle_beta 108.41
_cell_angle_gamma 90.00
loop_
_space_group_symop_operation_xyz
'x,y,z'
'-x,-y,-z'
'-x,y,-z'
'x,-y,z'
'x+1/2,y+1/2,z'
'-x+1/2,-y+1/2,-z'
'-x+1/2,y+1/2,-z'
'x+1/2,-y+1/2,z'
loop_
_atom_site_label
_atom_site_fract_x
_atom_site_fract_y
_atom_site_fract_z
Ce1 0.000 0.000 0.000
Pm1 0.000 0.500 0.000
Pm2 0.165 0.000 0.665
Pm3 0.167 0.500 0.667
Pr1 0.000 0.247 0.500
Pr2 0.165 0.248 0.165
# energy of formation from the pure elements = 0.0360 eV/atom
# crystal system = monoclinic
# theoretical density = 6.75 g/cm3
# raw total energy = -0.177 Ha/atom



[2]
# AcCd9Pd3 (PBE, optimized geometry)
data_AcCd9Pd3
_space_group_name_H-M_alt 'C 1 2/m 1'
_space_group_IT_number 12
_cell_length_a 5.692
_cell_length_b 14.168
_cell_length_c 7.486
_cell_angle_alpha 90.00
_cell_angle_beta 112.08
_cell_angle_gamma 90.00
loop_
_space_group_symop_operation_xyz
'x,y,z'
'-x,-y,-z'
'-x,y,-z'
'x,-y,z'
'x+1/2,y+1/2,z'
'-x+1/2,-y+1/2,-z'
'-x+1/2,y+1/2,-z'
'x+1/2,-y+1/2,z'
loop_
_atom_site_label
_atom_site_fract_x
_atom_site_fract_y
_atom_site_fract_z
Ac1 0.000 0.000 0.000
Cd1 0.000 0.000 0.500
Cd2 0.103 0.388 0.216
Cd3 0.177 0.177 0.339
Pd1 0.000 0.500 0.500
Pd2 0.250 0.250 0.000
# energy of formation from the pure elements = -0.3139 eV/atom
# crystal system = monoclinic
# theoretical density = 9.25 g/cm3
# raw total energy = -0.090 Ha/atom



[3]
# PuMnRu2 (PBE, optimized geometry)
data_PuMnRu2
_space_group_name_H-M_alt 'P 4/m m m'
_space_group_IT_number 123
_space_group_name_Hall '-P 4 2'
_cell_length_a 3.233
_cell_length_b 3.233
_cell_length_c 6.313
_cell_angle_alpha 90.00
_cell_angle_beta 90.00
_cell_angle_gamma 90.00
loop_
_atom_site_label
_atom_site_fract_x
_atom_site_fract_y
_atom_site_fract_z
Pu1 0.000 0.000 0.000
Mn1 0.000 0.000 0.500
Ru1 0.500 0.500 0.271
# energy of formation from the pure elements = 0.0454 eV/atom
# crystal system = tetragonal
# theoretical density = 12.61 g/cm3
# raw total energy = -0.385 Ha/atom